Pm2DyErS6 after structural relaxation, computed with PBE.

Cell and atoms, written as CIF:
```
data_Pm2DyErS6
_chemical_formula_sum 'Pm2 Dy1 Er1 S6'
_cell_length_a 7.3948
_cell_length_b 7.3948
_cell_length_c 7.3948
_cell_angle_alpha 56.60
_cell_angle_beta 56.60
_cell_angle_gamma 56.60
_symmetry_space_group_name_H-M 'P 1'
_symmetry_Int_Tables_number 1
loop_
_symmetry_equiv_pos_as_xyz
'x,y,z'
loop_
_atom_site_label
_atom_site_fract_x
_atom_site_fract_y
_atom_site_fract_z
Pm1 0.0000 0.0000 0.0000
Pm2 0.4994 0.4994 0.4994
Dy1 0.2046 0.2046 0.2046
Er1 0.7038 0.7038 0.7038
S1 0.0869 0.4149 0.8170
S2 0.3183 0.9116 0.5900
S3 0.4149 0.8170 0.0869
S4 0.5900 0.3183 0.9116
S5 0.8170 0.0869 0.4149
S6 0.9116 0.5900 0.3183
```

Values from the calculation:
**N(E_F)**: 0.000 states/eV/f.u.
**Symmetry**: No. 146
**Uncorrected energy**: -63.88 eV per cell


PmDy2ErS4 after structural relaxation, computed with PBE.

Cell and atoms, written as CIF:
```
data_PmDy2ErS4
_chemical_formula_sum 'Pm1 Dy2 Er1 S4'
_cell_length_a 6.7999
_cell_length_b 3.8887
_cell_length_c 6.8558
_cell_angle_alpha 90.00
_cell_angle_beta 108.98
_cell_angle_gamma 90.00
_symmetry_space_group_name_H-M 'P 1'
_symmetry_Int_Tables_number 1
loop_
_symmetry_equiv_pos_as_xyz
'x,y,z'
loop_
_atom_site_label
_atom_site_fract_x
_atom_site_fract_y
_atom_site_fract_z
Pm1 0.0000 0.0000 0.0000
Dy1 0.5000 0.0000 0.5000
Dy2 0.5000 0.5000 0.0000
Er1 0.0000 0.5000 0.5000
S1 0.2510 0.0000 0.7431
S2 0.2566 0.5000 0.2595
S3 0.7434 0.5000 0.7405
S4 0.7490 0.0000 0.2569
```

Values from the calculation:
**N(E_F)**: 4.887 states/eV/f.u.
**Symmetry**: No. 10
**Uncorrected energy**: -50.93 eV per cell


PmDyEr4S8 after structural relaxation, computed with PBE.

Cell and atoms, written as CIF:
```
data_PmDyEr4S8
_chemical_formula_sum 'Pm1 Dy1 Er4 S8'
_cell_length_a 8.0421
_cell_length_b 8.0421
_cell_length_c 8.0421
_cell_angle_alpha 59.88
_cell_angle_beta 59.88
_cell_angle_gamma 59.88
_symmetry_space_group_name_H-M 'P 1'
_symmetry_Int_Tables_number 1
loop_
_symmetry_equiv_pos_as_xyz
'x,y,z'
loop_
_atom_site_label
_atom_site_fract_x
_atom_site_fract_y
_atom_site_fract_z
Pm1 0.0000 0.0000 0.0000
Dy1 0.3751 0.3751 0.3751
Er1 0.3751 0.3751 0.8727
Er2 0.3751 0.8727 0.3751
Er3 0.7492 0.7492 0.7492
Er4 0.8727 0.3751 0.3751
S1 0.1338 0.1338 0.5923
S2 0.1338 0.5923 0.1338
S3 0.1360 0.1360 0.1360
S4 0.1448 0.6192 0.6192
S5 0.5923 0.1338 0.1338
S6 0.6172 0.6172 0.6172
S7 0.6192 0.1448 0.6192
S8 0.6192 0.6192 0.1448
```

Values from the calculation:
**N(E_F)**: 8.307 states/eV/f.u.
**Symmetry**: No. 160
**Uncorrected energy**: -87.55 eV per cell


Pm4Dy3ErS8 after structural relaxation, computed with PBE.

Cell and atoms, written as CIF:
```
data_Pm4Dy3ErS8
_chemical_formula_sum 'Pm4 Dy3 Er1 S8'
_cell_length_a 7.9833
_cell_length_b 7.9833
_cell_length_c 7.9833
_cell_angle_alpha 59.15
_cell_angle_beta 59.15
_cell_angle_gamma 59.15
_symmetry_space_group_name_H-M 'P 1'
_symmetry_Int_Tables_number 1
loop_
_symmetry_equiv_pos_as_xyz
'x,y,z'
loop_
_atom_site_label
_atom_site_fract_x
_atom_site_fract_y
_atom_site_fract_z
Pm1 0.0000 0.0000 0.0000
Pm2 0.0000 0.5000 0.5000
Pm3 0.5000 0.0000 0.5000
Pm4 0.5000 0.5000 0.0000
Dy1 0.0000 0.0000 0.5000
Dy2 0.0000 0.5000 0.0000
Dy3 0.5000 0.0000 0.0000
Er1 0.5000 0.5000 0.5000
S1 0.2456 0.2456 0.2456
S2 0.2472 0.7441 0.7441
S3 0.2559 0.2559 0.7528
S4 0.2559 0.7528 0.2559
S5 0.7441 0.2472 0.7441
S6 0.7441 0.7441 0.2472
S7 0.7528 0.2559 0.2559
S8 0.7544 0.7544 0.7544
```

Values from the calculation:
**N(E_F)**: 7.732 states/eV/f.u.
**Symmetry**: No. 166
**Uncorrected energy**: -102.55 eV per cell


PmDy4ErS8 after structural relaxation, computed with PBE.

Cell and atoms, written as CIF:
```
data_PmDy4ErS8
_chemical_formula_sum 'Pm1 Dy4 Er1 S8'
_cell_length_a 8.0653
_cell_length_b 8.0653
_cell_length_c 8.0653
_cell_angle_alpha 60.11
_cell_angle_beta 60.11
_cell_angle_gamma 60.11
_symmetry_space_group_name_H-M 'P 1'
_symmetry_Int_Tables_number 1
loop_
_symmetry_equiv_pos_as_xyz
'x,y,z'
loop_
_atom_site_label
_atom_site_fract_x
_atom_site_fract_y
_atom_site_fract_z
Pm1 0.0000 0.0000 0.0000
Dy1 0.3760 0.3760 0.8739
Dy2 0.3760 0.8739 0.3760
Dy3 0.7508 0.7508 0.7508
Dy4 0.8739 0.3760 0.3760
Er1 0.3759 0.3759 0.3759
S1 0.1354 0.1354 0.1354
S2 0.1374 0.1374 0.5934
S3 0.1374 0.5934 0.1374
S4 0.1481 0.6164 0.6164
S5 0.5934 0.1374 0.1374
S6 0.6164 0.1481 0.6164
S7 0.6164 0.6164 0.1481
S8 0.6186 0.6186 0.6186
```

Values from the calculation:
**N(E_F)**: 8.575 states/eV/f.u.
**Symmetry**: No. 160
**Uncorrected energy**: -87.75 eV per cell


Pm4DyErS8 after structural relaxation, computed with PBE.

Cell and atoms, written as CIF:
```
data_Pm4DyErS8
_chemical_formula_sum 'Pm4 Dy1 Er1 S8'
_cell_length_a 8.1866
_cell_length_b 8.1866
_cell_length_c 8.1866
_cell_angle_alpha 60.11
_cell_angle_beta 60.11
_cell_angle_gamma 60.11
_symmetry_space_group_name_H-M 'P 1'
_symmetry_Int_Tables_number 1
loop_
_symmetry_equiv_pos_as_xyz
'x,y,z'
loop_
_atom_site_label
_atom_site_fract_x
_atom_site_fract_y
_atom_site_fract_z
Pm1 0.0000 0.0000 0.0000
Pm2 0.1277 0.6231 0.6231
Pm3 0.6231 0.1277 0.6231
Pm4 0.6231 0.6231 0.1277
Dy1 0.6234 0.6234 0.6234
Er1 0.2488 0.2488 0.2488
S1 0.3773 0.3773 0.3773
S2 0.3833 0.3833 0.8602
S3 0.3833 0.8602 0.3833
S4 0.4017 0.8611 0.8611
S5 0.8602 0.3833 0.3833
S6 0.8611 0.4017 0.8611
S7 0.8611 0.8611 0.4017
S8 0.8669 0.8669 0.8669
```

Values from the calculation:
**N(E_F)**: 8.421 states/eV/f.u.
**Symmetry**: No. 160
**Uncorrected energy**: -88.07 eV per cell


Number 1: formation energy (no corrections) -197.3 kJ/mol of atoms. Number 2: formation energy (no corrections) -191.7 kJ/mol of atoms. Number 3: formation energy (no corrections) -185.6 kJ/mol of atoms. Number 4: formation energy (no corrections) -193.9 kJ/mol of atoms. Number 5: formation energy (no corrections) -186.1 kJ/mol of atoms. Number 6: formation energy (no corrections) -185.3 kJ/mol of atoms.